A relaxed BaSb2Mo crystal. Source: Alexandria, functional GGA-PBE.

a = 3.491 Å, b = 3.491 Å, c = 8.372 Å
α = 90.00°, β = 90.00°, γ = 90.00°
Space group P4/mmm (No. 123)
Inequivalent atoms, fractional coordinates:
Ba (0.000, 0.000, 0.000)
Sb (0.500, 0.500, 0.312)
Mo (0.000, 0.000, 0.500)

density of states at the Fermi level = 1.59 states/eV/f.u.
ΔE_f (raw) = -183 meV/atom


A relaxed BaSbMo crystal. Source: Alexandria, functional GGA-PBE.

a = 4.6609 Å, b = 4.6609 Å, c = 5.0377 Å
α = 90.00°, β = 90.00°, γ = 120.00°
Space group P-6m2 (No. 187)
Inequivalent atoms, fractional coordinates:
Ba (0.0000, 0.0000, 0.0000)
Sb (0.3333, 0.6667, 0.5000)
Mo (0.6667, 0.3333, 0.5000)

density of states at the Fermi level = 2.77 states/eV/f.u.
ΔE_f (raw) = 256 meV/atom


A relaxed BaSbMo2 crystal. Source: Alexandria, functional GGA-PBE.

a = 4.4695 Å, b = 4.4695 Å, c = 19.3884 Å
α = 90.00°, β = 90.00°, γ = 120.00°
Space group R3m (No. 160, hexagonal axes)
Inequivalent atoms, fractional coordinates:
Ba (0.0000, 0.0000, 0.0000)
Sb (0.0000, 0.0000, 0.2012)
Mo (0.0000, 0.0000, 0.4787)
Mo (0.0000, 0.0000, 0.7945)

density of states at the Fermi level = 3.37 states/eV/f.u.
ΔE_f (raw) = 215 meV/atom


A relaxed BaSbMo3 crystal. Source: Alexandria, functional GGA-PBE.

a = 5.050 Å, b = 5.050 Å, c = 5.050 Å
α = 90.00°, β = 90.00°, γ = 90.00°
Space group Pm-3m (No. 221)
Inequivalent atoms, fractional coordinates:
Ba (0.000, 0.000, 0.000)
Sb (0.500, 0.500, 0.500)
Mo (0.000, 0.000, 0.500)

density of states at the Fermi level = 6.27 states/eV/f.u.
ΔE_f (raw) = 2907 meV/atom


A relaxed BaSb2Mo crystal. Source: Alexandria, functional GGA-PBE.

a = 3.5642 Å, b = 3.5642 Å, c = 30.1853 Å
α = 90.00°, β = 90.00°, γ = 120.00°
Space group R3m (No. 160, hexagonal axes)
Inequivalent atoms, fractional coordinates:
Ba (0.0000, 0.0000, 0.0000)
Sb (0.0000, 0.0000, 0.5217)
Sb (0.0000, 0.0000, 0.7649)
Mo (0.0000, 0.0000, 0.2463)

density of states at the Fermi level = 4.75 states/eV/f.u.
ΔE_f (raw) = 491 meV/atom


A relaxed BaSb2Mo crystal. Source: Alexandria, functional GGA-PBE.

a = 4.571 Å, b = 6.551 Å, c = 8.351 Å
α = 90.00°, β = 90.00°, γ = 90.00°
Space group Immm (No. 71)
Inequivalent atoms, fractional coordinates:
Ba (0.000, 0.000, 0.000)
Sb (0.000, 0.500, 0.195)
Mo (0.000, 0.000, 0.500)

density of states at the Fermi level = 2.46 states/eV/f.u.
ΔE_f (raw) = 87 meV/atom


A relaxed BaSbMo2 crystal. Source: Alexandria, functional GGA-PBE.

a = 6.556 Å, b = 9.695 Å, c = 3.098 Å
α = 90.00°, β = 116.32°, γ = 90.00°
Space group C2/m (No. 12)
Inequivalent atoms, fractional coordinates:
Ba (0.000, 0.000, 0.000)
Sb (0.000, 0.500, 0.000)
Mo (0.250, 0.250, 0.000)

density of states at the Fermi level = 5.06 states/eV/f.u.
ΔE_f (raw) = 1055 meV/atom


A relaxed BaSb2Mo crystal. Source: Alexandria, functional GGA-PBE.

a = 6.079 Å, b = 6.079 Å, c = 16.531 Å
α = 90.00°, β = 90.00°, γ = 90.00°
Space group I-42d (No. 122)
Inequivalent atoms, fractional coordinates:
Ba (0.000, 0.000, 0.000)
Sb (0.039, 0.250, 0.625)
Mo (0.000, 0.000, 0.500)

density of states at the Fermi level = 1.32 states/eV/f.u.
ΔE_f (raw) = 44 meV/atom


A relaxed BaSbMo2 crystal. Source: Alexandria, functional GGA-PBE.

a = 9.978 Å, b = 3.503 Å, c = 6.218 Å
α = 90.00°, β = 100.51°, γ = 90.00°
Space group C2/m (No. 12)
Inequivalent atoms, fractional coordinates:
Ba (0.000, 0.000, 0.000)
Sb (0.000, 0.500, 0.500)
Mo (0.237, 0.000, 0.630)

density of states at the Fermi level = 3.92 states/eV/f.u.
ΔE_f (raw) = 416 meV/atom


A relaxed BaSbMo2 crystal. Source: Alexandria, functional GGA-PBE.

a = 7.126 Å, b = 7.126 Å, c = 7.126 Å
α = 90.00°, β = 90.00°, γ = 90.00°
Space group F-43m (No. 216)
Inequivalent atoms, fractional coordinates:
Ba (0.000, 0.000, 0.000)
Sb (0.250, 0.250, 0.250)
Mo (0.000, 0.000, 0.500)
Mo (0.250, 0.250, 0.750)

density of states at the Fermi level = 2.57 states/eV/f.u.
ΔE_f (raw) = 961 meV/atom


A relaxed BaSbMo crystal. Source: Alexandria, functional GGA-PBE.

a = 7.803 Å, b = 7.803 Å, c = 7.803 Å
α = 90.00°, β = 90.00°, γ = 90.00°
Space group F-43m (No. 216)
Inequivalent atoms, fractional coordinates:
Ba (0.000, 0.000, 0.000)
Sb (0.250, 0.250, 0.750)
Mo (0.250, 0.250, 0.250)

density of states at the Fermi level = 1.43 states/eV/f.u.
ΔE_f (raw) = 1187 meV/atom


A relaxed BaSbMo2 crystal. Source: Alexandria, functional GGA-PBE.

a = 3.364 Å, b = 3.364 Å, c = 8.400 Å
α = 90.00°, β = 90.00°, γ = 90.00°
Space group P4mm (No. 99)
Inequivalent atoms, fractional coordinates:
Ba (0.000, 0.000, 0.000)
Sb (0.500, 0.500, 0.663)
Mo (0.000, 0.000, 0.456)
Mo (0.500, 0.500, 0.308)

density of states at the Fermi level = 2.60 states/eV/f.u.
ΔE_f (raw) = 245 meV/atom